4
Lattice="-2.235 2.235 3.704 2.235 -2.235 3.704 2.235 2.235 -3.704" Properties=species:S:1:pos:R:3 comment="YMo2Se GGA-PBE optimized geometry" sg="I-4m2, No. 119" n_ef_per_ev_atom=0.976 volume_a3_per_atom=18.5 energy_ha_per_atom=-0.28143 total_magnetization_mub_per_atom=0.0000 pbc="T T T"
Y 0.000 0.000 0.000
Mo 2.235 0.000 1.852
Mo 0.000 0.000 3.704
Se 0.000 2.235 1.852

=====

12
Lattice="3.027 -6.029 0.000 3.027 6.029 0.000 0.000 0.000 5.657" Properties=species:S:1:pos:R:3 comment="DyAl3CuNi GGA-PBE optimized geometry" sg="Cmcm, No. 63" formation_energy_ev_per_atom=-0.33 n_ef_per_ev_atom=0.376 volume_a3_per_atom=17.2 energy_ha_per_atom=-0.16942 total_magnetization_mub_per_atom=0.0000 pbc="T T T"
Dy 3.027 3.368 4.243
Dy 3.027 -3.368 1.414
Al 1.288 0.000 0.000
Al 1.288 0.000 2.828
Al 3.027 1.696 1.414
Al 3.027 -1.696 4.243
Al 4.766 0.000 0.000
Al 4.766 0.000 2.828
Cu 3.027 4.246 1.414
Cu 3.027 -4.246 4.243
Ni 3.027 0.818 4.243
Ni 3.027 -0.818 1.414

=====

3
Lattice="-2.544 2.544 4.538 2.544 -2.544 4.538 2.544 2.544 -4.538" Properties=species:S:1:pos:R:3 comment="CsCuSe GGA-PBE optimized geometry" sg="I4mm, No. 107" n_ef_per_ev_atom=0.280 volume_a3_per_atom=39.2 energy_ha_per_atom=-0.10684 total_magnetization_mub_per_atom=0.0000 pbc="T T T"
Cs 0.000 0.000 0.000
Cu 0.000 0.000 3.424
Se 0.000 0.000 5.630

=====

10
Lattice="0.000 6.264 6.264 6.264 0.000 6.264 6.264 6.264 0.000" Properties=species:S:1:pos:R:3 comment="K3InI6 GGA-PBE optimized geometry" sg="Fm-3m, No. 225" volume_a3_per_atom=49.2 energy_ha_per_atom=-0.09245 relative_energy_mev_per_atom=82 total_magnetization_mub_per_atom=0.0000 pbc="T T T"
K 0.000 0.000 0.000
K 3.132 3.132 3.132
K 9.396 9.396 9.396
In 6.264 6.264 6.264
I 6.264 6.264 3.334
I 6.264 3.334 6.264
I 9.194 6.264 6.264
I 3.334 6.264 6.264
I 6.264 9.194 6.264
I 6.264 6.264 9.194

=====

5
Lattice="4.473 0.000 0.000 0.000 4.473 0.000 0.000 0.000 4.473" Properties=species:S:1:pos:R:3 comment="TePt3F GGA-PBE optimized geometry" sg="Pm-3m, No. 221" n_ef_per_ev_atom=0.764 volume_a3_per_atom=17.9 energy_ha_per_atom=-0.14685 relative_energy_mev_per_atom=0 total_magnetization_mub_per_atom=0.0000 pbc="T T T"
Te 0.000 0.000 0.000
Pt 0.000 2.236 2.236
Pt 2.236 0.000 2.236
Pt 2.236 2.236 0.000
F 2.236 2.236 2.236

=====

10
Lattice="10.979 0.000 0.000 0.000 10.979 0.000 0.000 0.000 3.826" Properties=species:S:1:pos:R:3 comment="Cs2SrBi2 GGA-PBE optimized geometry" sg="P4/mbm, No. 127" formation_energy_ev_per_atom=-0.13 n_ef_per_ev_atom=0.692 volume_a3_per_atom=46.1 energy_ha_per_atom=-0.08689 relative_energy_mev_per_atom=291 total_magnetization_mub_per_atom=0.0000 pbc="T T T"
Cs 1.265 4.225 0.000
Cs 4.225 9.714 0.000
Cs 6.755 1.265 0.000
Cs 9.714 6.755 0.000
Sr 0.000 0.000 0.000
Sr 5.490 5.490 0.000
Bi 2.018 7.507 1.913
Bi 3.472 2.018 1.913
Bi 7.507 8.962 1.913
Bi 8.962 3.472 1.913